1.
! PmHo2Pt PBE relaxed; values from VASP
&SYSTEM
  ibrav = 0, nat = 4, ntyp = 3
/
ATOMIC_SPECIES
Pm 145.00 Pm.upf
Pt 195.08 Pt.upf
Ho 164.93 Ho.upf
CELL_PARAMETERS angstrom
-2.4204 0.5383 -3.0718
1.1850 -0.9660 -3.6397
-3.6923 -8.4321 -1.1051
ATOMIC_POSITIONS angstrom
Pm -2.4454 -4.3831 -3.9147
Pt -0.8339 -0.3111 -4.4708
Ho -1.0018 -1.6333 -2.0336
Ho -3.1106 -6.9622 -1.3058
! - M_tot: 0.00 μB per formula unit
! - SG: No. 160
! - Formation enthalpy at 0 K: -52.9 kJ/mol of atoms

---

2.
! Tm5Pb2N PBE relaxed; values from VASP
&SYSTEM
  ibrav = 0, nat = 32, ntyp = 3
/
ATOMIC_SPECIES
Tm 168.93 Tm.upf
Pb 207.20 Pb.upf
N 14.01 N.upf
CELL_PARAMETERS angstrom
6.5849 0.0000 0.0000
0.0000 8.6419 0.0000
0.0000 0.0000 14.0436
ATOMIC_POSITIONS angstrom
Tm 3.3412 5.4848 12.6467
Tm 4.9387 6.3047 1.5914
Tm 3.2437 7.4780 5.6249
Tm 0.0000 4.3209 7.0218
Tm 6.5362 1.1639 8.4186
Tm 3.3412 1.1639 8.4186
Tm 3.2924 0.0000 0.0000
Tm 0.0487 7.4780 5.6249
Tm 3.2437 3.1571 1.3968
Tm 1.6462 4.8428 4.1570
Tm 3.2924 4.3209 7.0218
Tm 4.9387 1.9838 5.4304
Tm 1.6462 0.5219 2.8648
Tm 6.5362 5.4848 12.6467
Tm 1.6462 2.3372 12.4522
Tm 0.0000 0.0000 0.0000
Tm 0.0487 3.1571 1.3968
Tm 4.9387 3.7991 9.8866
Tm 1.6462 6.6581 8.6132
Tm 4.9387 8.1200 11.1788
Pb 4.9387 6.7681 8.3572
Pb 4.9387 0.5866 2.7213
Pb 1.6462 3.7344 9.7431
Pb 4.9387 4.9075 4.3005
Pb 1.6462 6.1947 1.3354
Pb 1.6462 1.8738 5.6864
Pb 4.9387 2.4471 12.7082
Pb 1.6462 8.0553 11.3223
N 1.6462 1.5782 0.6729
N 4.9387 7.0637 13.3707
N 1.6462 5.8991 6.3489
N 4.9387 2.7428 7.6947
! - M_tot: 0.00 μB per formula unit
! - Energy: -5.45 eV/atom
! - SG: No. 62

---

3.
! YbCl3 PBE relaxed; values from VASP
&SYSTEM
  ibrav = 0, nat = 8, ntyp = 2
/
ATOMIC_SPECIES
Yb 173.04 Yb.upf
Cl 35.45 Cl.upf
CELL_PARAMETERS angstrom
-5.0954 5.3283 5.1962
0.0597 -8.9146 1.3716
2.7871 0.3793 2.3441
ATOMIC_POSITIONS angstrom
Yb -2.6802 0.6755 4.5073
Yb 0.4317 -3.8824 4.4045
Cl -0.3353 -2.4980 2.2327
Cl -0.3127 -5.8656 2.7509
Cl -1.9132 -0.7089 6.6791
Cl -0.0109 0.6458 4.1981
Cl -1.9358 2.6587 6.1610
Cl -2.2376 -3.8527 4.7138
! - M_tot: 1.05 μB per formula unit
! - Energy: -3.50 eV/atom
! - SG: No. 194

---

4.
! Sr3InO PBE relaxed; values from VASP
&SYSTEM
  ibrav = 0, nat = 10, ntyp = 3
/
ATOMIC_SPECIES
In 114.82 In.upf
Sr 87.62 Sr.upf
O 16.00 O.upf
CELL_PARAMETERS angstrom
4.9390 5.1945 2.2522
-4.9913 1.7415 -5.3389
-5.0063 2.3924 5.4608
ATOMIC_POSITIONS angstrom
In -1.7640 3.8971 -0.5498
In -3.2947 5.4314 2.9240
Sr 0.7798 3.0534 2.1519
Sr 0.0000 0.0000 0.0000
Sr -5.8385 6.2751 0.2222
Sr -2.5032 1.1962 2.7304
Sr -5.8125 2.8277 1.7564
Sr 0.7539 6.5008 0.6178
O 0.0981 6.6112 5.5175
O -5.1567 2.7173 -3.1434
! - M_tot: 0.00 μB per formula unit
! - Energy: -3.60 eV/atom
! - SG: No. 63

---

5.
! Ho2ErIr3 PBE relaxed; values from VASP
&SYSTEM
  ibrav = 0, nat = 6, ntyp = 3
/
ATOMIC_SPECIES
Ir 192.22 Ir.upf
Ho 164.93 Ho.upf
Er 167.26 Er.upf
CELL_PARAMETERS angstrom
4.8198 0.0000 0.0000
-2.4099 4.1741 0.0000
0.0000 0.0000 5.8992
ATOMIC_POSITIONS angstrom
Ir 2.4099 1.3914 4.9210
Ir 0.0000 0.0000 2.9496
Ir 0.0000 2.7827 0.9781
Ho 2.4099 1.3914 1.9646
Ho 0.0000 2.7827 3.9346
Er 0.0000 0.0000 0.0000
! - M_tot: 0.00 μB per formula unit
! - SG: No. 164
! - Formation enthalpy at 0 K: -83.0 kJ/mol of atoms

---

6.
! LaPrAsP PBE relaxed; values from VASP
&SYSTEM
  ibrav = 0, nat = 4, ntyp = 4
/
ATOMIC_SPECIES
As 74.92 As.upf
La 138.91 La.upf
Pr 140.91 Pr.upf
P 30.97 P.upf
CELL_PARAMETERS angstrom
4.2903 0.0000 0.0000
0.0000 4.2832 0.2559
0.0000 -0.3619 6.0637
ATOMIC_POSITIONS angstrom
As 2.1451 1.4631 3.6931
La 2.1451 1.6429 0.6610
Pr 0.0000 3.6045 3.8205
P 0.0000 3.7848 0.7880
! - M_tot: 0.00 μB per formula unit
! - SG: No. 123
! - Formation enthalpy at 0 K: -148.1 kJ/mol of atoms

---

7.
! Y2Hg2Pd7 PBE relaxed; values from VASP
&SYSTEM
  ibrav = 0, nat = 11, ntyp = 3
/
ATOMIC_SPECIES
Hg 200.59 Hg.upf
Pd 106.42 Pd.upf
Y 88.91 Y.upf
CELL_PARAMETERS angstrom
-1.6109 5.0901 -0.1813
-0.1969 -3.0003 6.3082
6.9107 -0.9619 0.3881
ATOMIC_POSITIONS angstrom
Hg 2.9078 2.0391 4.1933
Hg 2.1951 -0.9112 2.3217
Pd 4.1085 -0.3639 4.8073
Pd 5.2497 1.2550 2.8498
Pd 0.9945 1.4918 1.7076
Pd 3.4973 0.9180 0.6299
Pd -0.8054 2.5451 -0.0906
Pd 1.6057 0.2099 5.8851
Pd -0.1467 -0.1271 3.6651
Y 5.5169 -1.3616 1.5490
Y 1.1969 -2.6006 5.1472
! - M_tot: 0.00 μB per formula unit
! - SG: No. 12
! - Formation enthalpy at 0 K: -51.2 kJ/mol of atoms

---

8.
! SrIr3O PBE relaxed; values from VASP
&SYSTEM
  ibrav = 0, nat = 5, ntyp = 3
/
ATOMIC_SPECIES
Ir 192.22 Ir.upf
Sr 87.62 Sr.upf
O 16.00 O.upf
CELL_PARAMETERS angstrom
-0.2174 -1.1881 4.1762
4.2755 0.6702 0.4132
-0.7567 4.1278 1.1349
ATOMIC_POSITIONS angstrom
Ir -0.1087 -0.5940 2.0881
Ir 2.1377 0.3351 0.2066
Ir -0.3784 2.0639 0.5675
Sr 1.6507 1.8050 2.8622
O 0.0000 0.0000 0.0000
! - M_tot: 0.00 μB per formula unit
! - Energy: -6.09 eV/atom
! - SG: No. 221

---

9.
! Pu2PaAl2Ge2 PBE relaxed; values from VASP
&SYSTEM
  ibrav = 0, nat = 7, ntyp = 4
/
ATOMIC_SPECIES
Pu 244.00 Pu.upf
Ge 72.64 Ge.upf
Al 26.98 Al.upf
Pa 231.04 Pa.upf
CELL_PARAMETERS angstrom
4.1058 0.0000 0.0000
2.0529 3.5557 0.0000
2.0529 1.1852 9.0281
ATOMIC_POSITIONS angstrom
Pu 2.0529 1.1852 4.9089
Pu 6.1587 3.5557 4.1192
Ge 6.1587 3.5557 7.1998
Ge 2.0529 1.1852 1.8283
Al 4.1058 2.3705 6.7639
Al 4.1058 2.3705 2.2642
Pa 0.0000 0.0000 0.0000
! - M_tot: 1.46 μB per formula unit
! - SG: No. 166
! - Formation enthalpy at 0 K: -5.7 kJ/mol of atoms

---

10.
! Ti2IrPt2 PBE relaxed; values from VASP
&SYSTEM
  ibrav = 0, nat = 5, ntyp = 3
/
ATOMIC_SPECIES
Ti 47.87 Ti.upf
Pt 195.08 Pt.upf
Ir 192.22 Ir.upf
CELL_PARAMETERS angstrom
-2.2168 -3.2520 -1.4755
-1.4276 -0.7848 3.8746
-5.7758 1.0551 0.3654
ATOMIC_POSITIONS angstrom
Ti -4.9074 -2.1076 0.0447
Ti -4.5128 -0.8740 2.7198
Pt -2.7831 -1.2714 0.9968
Pt -6.6371 -1.7103 1.7677
Ir 0.0000 0.0000 0.0000
! - M_tot: 0.00 μB per formula unit
! - SG: No. 139
! - Formation enthalpy at 0 K: -16.7 kJ/mol of atoms

---

11.
! Ag3PtPb PBE relaxed; values from VASP
&SYSTEM
  ibrav = 0, nat = 5, ntyp = 3
/
ATOMIC_SPECIES
Ag 107.87 Ag.upf
Pb 207.20 Pb.upf
Pt 195.08 Pt.upf
CELL_PARAMETERS angstrom
5.1109 0.0000 0.0000
0.0000 5.1109 0.0000
0.0000 0.0000 5.1109
ATOMIC_POSITIONS angstrom
Ag 0.0000 2.5555 0.0000
Ag 0.0000 0.0000 2.5555
Ag 2.5555 0.0000 0.0000
Pb 2.5555 2.5555 2.5555
Pt 0.0000 0.0000 0.0000
! - M_tot: 0.00 μB per formula unit
! - SG: No. 221
! - Formation enthalpy at 0 K: 52.5 kJ/mol of atoms

---

12.
! Ta4CdBr PBE relaxed; values from VASP
&SYSTEM
  ibrav = 0, nat = 6, ntyp = 3
/
ATOMIC_SPECIES
Ta 180.95 Ta.upf
Cd 112.41 Cd.upf
Br 79.90 Br.upf
CELL_PARAMETERS angstrom
0.0000 3.9665 3.9665
3.9665 0.0000 3.9665
3.9665 3.9665 0.0000
ATOMIC_POSITIONS angstrom
Ta 2.9593 2.9593 2.9593
Ta 4.9736 4.9736 2.9593
Ta 2.9593 4.9736 4.9736
Ta 4.9736 2.9593 4.9736
Cd 0.0000 0.0000 0.0000
Br 5.9497 5.9497 5.9497
! - M_tot: 0.00 μB per formula unit
! - Energy: -7.56 eV/atom
! - SG: No. 216

---

13.
! Pm12Nd2Tm PBE relaxed; values from VASP
&SYSTEM
  ibrav = 0, nat = 30, ntyp = 3
/
ATOMIC_SPECIES
Nd 144.24 Nd.upf
Pm 145.00 Pm.upf
Tm 168.93 Tm.upf
CELL_PARAMETERS angstrom
6.5656 0.0000 0.0000
0.0000 6.5656 0.0000
0.0000 0.0000 25.3896
ATOMIC_POSITIONS angstrom
Nd 0.0000 3.2828 18.6149
Nd 0.0000 3.2828 6.7747
Nd 3.2828 0.0000 18.6149
Nd 3.2828 0.0000 6.7747
Pm 5.3460 4.5024 22.5265
Pm 1.0989 2.1840 11.1217
Pm 5.4668 2.1840 14.2679
Pm 4.5024 5.3460 2.8631
Pm 0.0000 0.0000 19.9598
Pm 1.0989 4.3817 14.2679
Pm 2.0632 1.2196 2.8631
Pm 5.3460 2.0632 2.8631
Pm 2.0632 5.3460 22.5265
Pm 4.3817 5.4668 14.2679
Pm 2.1840 1.0989 14.2679
Pm 1.2196 4.5024 2.8631
Pm 0.0000 0.0000 16.8195
Pm 0.0000 0.0000 5.4298
Pm 4.5024 1.2196 22.5265
Pm 3.2828 3.2828 5.4298
Pm 4.3817 1.0989 11.1217
Pm 5.4668 4.3817 11.1217
Pm 0.0000 0.0000 8.5701
Pm 3.2828 3.2828 8.5701
Pm 3.2828 3.2828 19.9598
Pm 2.1840 5.4668 11.1217
Pm 1.2196 2.0632 22.5265
Pm 3.2828 3.2828 16.8195
Tm 3.2828 0.0000 0.0000
Tm 0.0000 3.2828 0.0000
! - M_tot: 0.00 μB per formula unit
! - SG: No. 125
! - Formation enthalpy at 0 K: 30.3 kJ/mol of atoms

---

14.
! AcTb2Bi3 PBE relaxed; values from VASP
&SYSTEM
  ibrav = 0, nat = 12, ntyp = 3
/
ATOMIC_SPECIES
Ac 227.00 Ac.upf
Tb 158.93 Tb.upf
Bi 208.98 Bi.upf
CELL_PARAMETERS angstrom
-1.7197 6.7362 3.9906
-3.5994 -1.5463 -6.9937
-3.7754 -5.3162 4.6546
ATOMIC_POSITIONS angstrom
Ac -5.4979 1.4079 8.6291
Ac -2.3435 3.9876 0.3453
Tb -3.9207 2.6977 4.4872
Tb -4.5389 -0.0261 0.8748
Tb -2.9728 1.2146 -3.3323
Tb -5.1822 -2.8610 -2.8848
Bi -6.9681 -1.4808 -0.6162
Bi -2.7530 -1.4063 -1.3937
Bi -4.9845 2.4330 -1.0847
Bi -4.1321 -2.6565 2.6071
Bi -1.9896 1.3157 2.3767
Bi -6.4563 1.4162 3.0653
! - M_tot: 0.00 μB per formula unit
! - SG: No. 12
! - Formation enthalpy at 0 K: -86.5 kJ/mol of atoms

---

15.
! PrErTm2S4 PBE relaxed; values from VASP
&SYSTEM
  ibrav = 0, nat = 8, ntyp = 4
/
ATOMIC_SPECIES
Pr 140.91 Pr.upf
S 32.06 S.upf
Er 167.26 Er.upf
Tm 168.93 Tm.upf
CELL_PARAMETERS angstrom
3.8574 0.0000 0.0000
0.0000 6.8528 -0.1941
0.0000 2.3552 6.3631
ATOMIC_POSITIONS angstrom
Pr 1.9287 3.4264 -0.0970
S 3.8574 2.2209 1.6425
S 1.9287 3.3988 4.6880
S 0.0001 6.9872 4.5265
S 1.9287 5.8093 1.4810
Er 0.0000 4.6040 3.0845
Tm 1.9287 1.1776 3.1815
Tm 0.0000 2.3552 6.3631
! - M_tot: 0.00 μB per formula unit
! - Energy: -6.30 eV/atom
! - SG: No. 10

---

16.
! Nd3Sn7 PBE relaxed; values from VASP
&SYSTEM
  ibrav = 0, nat = 10, ntyp = 2
/
ATOMIC_SPECIES
Nd 144.24 Nd.upf
Sn 118.71 Sn.upf
CELL_PARAMETERS angstrom
-1.5629 -12.5327 -4.5852
0.7226 10.3825 8.4980
-4.4943 0.7606 -0.5472
ATOMIC_POSITIONS angstrom
Nd 0.0000 0.0000 0.0000
Nd 0.2986 6.1316 6.0710
Nd -1.1389 -8.2818 -2.1582
Sn -2.1833 4.1584 4.4537
Sn -3.1513 -5.5479 -1.0880
Sn -0.2006 1.1264 3.2133
Sn -3.5900 -9.9459 -3.5990
Sn -0.6397 -3.2766 0.6995
Sn -2.6673 -0.6948 1.6828
Sn -1.7446 8.5564 6.9647
! - M_tot: 0.00 μB per formula unit
! - SG: No. 65
! - Formation enthalpy at 0 K: -57.2 kJ/mol of atoms

---

17.
! MnGaHPd2 PBE relaxed; values from VASP
&SYSTEM
  ibrav = 0, nat = 5, ntyp = 4
/
ATOMIC_SPECIES
H 1.01 H.upf
Pd 106.42 Pd.upf
Ga 69.72 Ga.upf
Mn 54.94 Mn.upf
CELL_PARAMETERS angstrom
-3.3469 0.3928 2.1151
1.7808 -1.6885 3.1316
1.2029 3.5695 1.2406
ATOMIC_POSITIONS angstrom
H 0.0000 0.0000 0.0000
Pd -1.6734 0.1964 1.0575
Pd 0.8904 -0.8443 1.5658
Ga -0.1816 1.1369 3.2436
Mn 0.6014 1.7848 0.6203
! - M_tot: 3.59 μB per formula unit
! - Energy: -5.44 eV/atom
! - SG: No. 123

---

18.
! CoTcAu2 PBE relaxed; values from VASP
&SYSTEM
  ibrav = 0, nat = 4, ntyp = 3
/
ATOMIC_SPECIES
Tc 98.00 Tc.upf
Au 196.97 Au.upf
Co 58.93 Co.upf
CELL_PARAMETERS angstrom
9.2257 -0.0196 -0.0115
8.8037 2.7585 -0.0115
8.8037 1.3374 2.4126
ATOMIC_POSITIONS angstrom
Tc 20.1248 3.0572 1.7922
Au 13.4959 2.0502 1.2019
Au 26.7537 4.0642 2.3826
Co 6.7083 1.0191 0.5974
! - M_tot: 2.36 μB per formula unit
! - SG: No. 166
! - Formation enthalpy at 0 K: 39.6 kJ/mol of atoms

---

19.
! Cd2TcMo PBE relaxed; values from VASP
&SYSTEM
  ibrav = 0, nat = 4, ntyp = 3
/
ATOMIC_SPECIES
Cd 112.41 Cd.upf
Tc 98.00 Tc.upf
Mo 95.94 Mo.upf
CELL_PARAMETERS angstrom
2.7599 0.0000 0.0000
0.0000 2.7599 0.0000
0.0000 0.0000 9.1755
ATOMIC_POSITIONS angstrom
Cd 0.0000 0.0000 9.1495
Cd 0.0000 0.0000 4.6138
Tc 1.3799 1.3799 6.8816
Mo 1.3799 1.3799 2.2939
! - M_tot: 0.64 μB per formula unit
! - SG: No. 123
! - Formation enthalpy at 0 K: 51.8 kJ/mol of atoms

---

20.
! LaScB2Pb PBE relaxed; values from VASP
&SYSTEM
  ibrav = 0, nat = 5, ntyp = 4
/
ATOMIC_SPECIES
B 10.81 B.upf
Pb 207.20 Pb.upf
Sc 44.96 Sc.upf
La 138.91 La.upf
CELL_PARAMETERS angstrom
4.7814 0.0000 0.0000
0.0000 5.3261 0.0000
0.0000 0.0000 4.7814
ATOMIC_POSITIONS angstrom
B 2.3907 0.0000 0.0000
B 0.0000 0.0000 2.3907
Pb 0.0000 0.0000 0.0000
Sc 0.0000 2.6630 0.0000
La 2.3907 2.6630 2.3907
! - M_tot: 0.00 μB per formula unit
! - SG: No. 123
! - Formation enthalpy at 0 K: 139.7 kJ/mol of atoms

---

21.
! RbNa2YF6 PBE relaxed; values from VASP
&SYSTEM
  ibrav = 0, nat = 10, ntyp = 4
/
ATOMIC_SPECIES
F 19.00 F.upf
Na 22.99 Na.upf
Rb 85.47 Rb.upf
Y 88.91 Y.upf
CELL_PARAMETERS angstrom
-4.7432 -1.6782 -3.4251
-4.7241 -2.8749 2.5417
-5.5410 3.2533 0.6698
ATOMIC_POSITIONS angstrom
F -9.2030 -0.0997 1.1489
F -6.8706 -2.3942 1.6494
F -6.7429 1.2130 0.7386
F -5.2219 -0.9936 -1.2036
F -8.4880 0.7794 -1.4317
F -8.4377 -2.5271 -1.5674
Na -5.4439 3.0587 0.6306
Na -7.3300 -0.9983 -0.1772
Rb -10.9217 -1.6438 -0.2954
Y -3.2629 -1.3034 -0.2512
! - M_tot: 0.19 μB per formula unit
! - Energy: -5.42 eV/atom
! - SG: No. 146

---

22.
! AlZn2Pb PBE relaxed; values from VASP
&SYSTEM
  ibrav = 0, nat = 4, ntyp = 3
/
ATOMIC_SPECIES
Zn 65.41 Zn.upf
Al 26.98 Al.upf
Pb 207.20 Pb.upf
CELL_PARAMETERS angstrom
5.5502 -0.1471 -0.0517
2.1996 5.0978 0.0517
-3.2817 -3.4040 2.9107
ATOMIC_POSITIONS angstrom
Zn 7.5459 4.8206 0.0000
Zn 3.0989 -0.5204 1.4295
Al 4.0708 2.6005 0.0000
Pb 1.3771 2.0723 1.4812
! - M_tot: 0.00 μB per formula unit
! - SG: No. 44
! - Formation enthalpy at 0 K: 22.7 kJ/mol of atoms

---

23.
! KInC PBE relaxed; values from VASP
&SYSTEM
  ibrav = 0, nat = 6, ntyp = 3
/
ATOMIC_SPECIES
C 12.01 C.upf
K 39.10 K.upf
In 114.82 In.upf
CELL_PARAMETERS angstrom
7.1085 0.0000 0.0000
0.0000 5.0448 0.0000
0.0000 0.0000 4.7264
ATOMIC_POSITIONS angstrom
C 5.3314 2.5224 1.2838
C 1.7771 2.5224 3.4426
K 5.3314 0.0000 4.5281
K 1.7771 0.0000 0.1983
In 0.0000 2.5224 2.3632
In 3.5543 2.5224 2.3632
! - M_tot: 0.00 μB per formula unit
! - SG: No. 51
! - Formation enthalpy at 0 K: 94.1 kJ/mol of atoms

---

24.
! K2ZnIn2 PBE relaxed; values from VASP
&SYSTEM
  ibrav = 0, nat = 5, ntyp = 3
/
ATOMIC_SPECIES
In 114.82 In.upf
Zn 65.41 Zn.upf
K 39.10 K.upf
CELL_PARAMETERS angstrom
4.7356 0.0000 0.0000
0.0000 4.7356 0.0000
2.3678 2.3678 8.2238
ATOMIC_POSITIONS angstrom
In 2.3678 2.3678 1.4131
In 4.7356 4.7356 6.8107
Zn 0.0000 0.0000 0.0000
K 2.3678 4.7356 4.1119
K 4.7356 2.3678 4.1119
! - M_tot: 0.00 μB per formula unit
! - SG: No. 139
! - Formation enthalpy at 0 K: 33.5 kJ/mol of atoms